Material: MnP2Br8
Method: DFT, GGA-PBE
State: relaxed

a b c (Å): 7.8436 7.8436 8.7329
angles (deg): 95.04 95.04 78.78
Element x y z (fractional)
Mn (0.0000, 0.0000, 0.0000)
P (0.1675, 0.1675, 0.3564)
P (0.8325, 0.8325, 0.6436)
Br (0.0009, 0.6499, 0.8108)
Br (0.1018, 0.1018, 0.7803)
Br (0.3438, 0.3438, 0.4692)
Br (0.3501, 0.9991, 0.1892)
Br (0.6499, 0.0009, 0.8108)
Br (0.6562, 0.6562, 0.5308)
Br (0.8982, 0.8982, 0.2197)
Br (0.9991, 0.3501, 0.1892)

Its formation energy from raw total energies is -384 meV per atom. As for the crystal system: monoclinic. The value obtained for the uncorrected energy is -37.60 eV per cell.